Record 1
First-principles (SCAN) data for a crystal of NiRuPt2 relaxed with PBEsol, as listed in Alexandria via LeMat-Bulk.

Cell: 2.690 2.690 7.427 Å, 90.00 90.00 90.00°
Element x y z (fractional)
Ni 0.000 0.000 0.000
Ru 0.500 0.500 0.778
Pt 0.000 0.000 0.521
Pt 0.500 0.500 0.241

Results
Its density is 17.0 g/cm³. For the energy above the lowest structure with this stoichiometry, the calculation gives 0.27 eV per formula unit. The formation energy is -2 kJ/mol of formula units. Its calculated volume is 53.7 Å³/f.u. Its space-group type is P4mm (99).

---

Record 2
First-principles (SCAN) data for a crystal of CaCr2Mo relaxed with PBEsol, as listed in Alexandria via LeMat-Bulk.

Cell: 4.505 4.505 3.126 Å, 90.00 90.00 90.00°
Element x y z (fractional)
Ca 0.000 0.000 0.000
Cr 0.000 0.500 0.500
Cr 0.500 0.000 0.500
Mo 0.500 0.500 0.000

Results
Its density is 6.3 g/cm³. For the energy above the lowest structure with this stoichiometry, the calculation gives 0.40 eV per formula unit. The formation energy is 279 kJ/mol of formula units. Its calculated volume is 63.4 Å³/f.u. Its space-group type is P4/mmm (123).

---

Record 3
First-principles (SCAN) data for a crystal of BaSrAl2 relaxed with PBEsol, as listed in Alexandria via LeMat-Bulk.

Cell: 3.690 3.690 9.528 Å, 90.00 90.00 90.00°
Element x y z (fractional)
Ba 0.000 0.000 0.000
Sr 0.500 0.500 0.390
Al 0.000 0.000 0.626
Al 0.500 0.500 0.749

Results
Its density is 3.6 g/cm³. For the energy above the lowest structure with this stoichiometry, the calculation gives 0.63 eV per formula unit. The formation energy is 4 kJ/mol of formula units. Its calculated volume is 129.7 Å³/f.u. Its space-group type is P4mm (99).

---

Record 4
First-principles (SCAN) data for a crystal of CsRb2Au relaxed with PBEsol, as listed in Alexandria via LeMat-Bulk.

Cell: 11.920 11.920 7.039 Å, 90.00 90.00 90.00°
Element x y z (fractional)
Cs 0.000 0.000 0.000
Cs 0.000 0.500 0.250
Cs 0.500 0.000 0.750
Cs 0.500 0.500 0.500
Rb 0.123 0.750 0.625
Rb 0.250 0.123 0.375
Rb 0.250 0.377 0.875
Rb 0.377 0.750 0.125
Rb 0.623 0.250 0.125
Rb 0.750 0.623 0.875
Rb 0.750 0.877 0.375
Rb 0.877 0.250 0.625
Au 0.000 0.000 0.500
Au 0.000 0.500 0.750
Au 0.500 0.000 0.250
Au 0.500 0.500 0.000

Results
Its density is 3.3 g/cm³. The formation energy is -65 kJ/mol of formula units. Its calculated volume is 250.0 Å³/f.u. Its space-group type is I-42d (122).

---

Record 5
First-principles (SCAN) data for a crystal of Na2LiP2 relaxed with PBEsol, as listed in Alexandria via LeMat-Bulk.

Cell: 4.218 4.218 11.757 Å, 90.00 90.00 90.00°
Element x y z (fractional)
Na 0.000 0.500 0.250
Na 0.000 0.500 0.750
Na 0.500 0.000 0.250
Na 0.500 0.000 0.750
Li 0.000 0.000 0.000
Li 0.500 0.500 0.500
P 0.000 0.000 0.410
P 0.000 0.000 0.590
P 0.500 0.500 0.090
P 0.500 0.500 0.910

Results
Its density is 1.8 g/cm³. For the energy above the lowest structure with this stoichiometry, the calculation gives 0.99 eV per formula unit. The formation energy is -135 kJ/mol of formula units. Its calculated volume is 104.6 Å³/f.u. Its space-group type is I4/mmm (139).

---

Record 6
First-principles (SCAN) data for a crystal of Sb3PdN relaxed with PBEsol, as listed in Alexandria via LeMat-Bulk.

Cell: 5.160 5.160 5.160 Å, 90.00 90.00 90.00°
Element x y z (fractional)
Sb 0.000 0.000 0.500
Sb 0.000 0.500 0.000
Sb 0.500 0.000 0.000
Pd 0.000 0.000 0.000
N 0.500 0.500 0.500

Results
Its formation energy (no corrections) is 630.0 kJ/mol of formula units. Its density is 5.9 g/cm³. Its calculated volume is 137.4 Å³/f.u. Its space-group type is Pm-3m (221).

---

Record 7
First-principles (SCAN) data for a crystal of CrPSe3 relaxed with PBEsol, as listed in Alexandria via LeMat-Bulk.

Cell: 13.756 3.501 9.726 Å, 90.00 90.00 90.00°
Element x y z (fractional)
Cr 0.063 0.250 0.127
Cr 0.437 0.750 0.627
Cr 0.563 0.250 0.373
Cr 0.937 0.750 0.873
P 0.196 0.750 0.367
P 0.304 0.250 0.867
P 0.696 0.750 0.133
P 0.804 0.250 0.633
Se 0.062 0.250 0.874
Se 0.079 0.250 0.393
Se 0.198 0.750 0.133
Se 0.302 0.250 0.633
Se 0.421 0.750 0.893
Se 0.438 0.750 0.374
Se 0.562 0.250 0.626
Se 0.579 0.250 0.107
Se 0.698 0.750 0.367
Se 0.802 0.250 0.867
Se 0.921 0.750 0.607
Se 0.938 0.750 0.126

Results
Its formation energy (no corrections) is -196.8 kJ/mol of formula units. Its density is 4.5 g/cm³. Its calculated volume is 117.1 Å³/f.u. Its space-group type is Pnma (62).

---

Record 8
First-principles (SCAN) data for a crystal of NbS2IN relaxed with PBEsol, as listed in Alexandria via LeMat-Bulk.

Cell: 5.070 5.070 3.832 Å, 90.00 90.00 90.00°
Element x y z (fractional)
Nb 0.000 0.000 0.000
S 0.000 0.500 0.500
S 0.500 0.000 0.500
I 0.500 0.500 0.500
N 0.500 0.500 0.000

Results
Its formation energy (no corrections) is 665.5 kJ/mol of formula units. Its density is 5.0 g/cm³. Its calculated volume is 98.5 Å³/f.u. Its space-group type is P4/mmm (123).

---

Record 9
First-principles (SCAN) data for a crystal of Sr4CaHoCu6Pb4O16 relaxed with PBEsol, as listed in Alexandria via LeMat-Bulk.

Cell: 5.326 5.359 15.599 Å, 89.97 88.87 89.99°
Element x y z (fractional)
Sr 0.012 0.499 0.283
Sr 0.487 0.000 0.719
Sr 0.513 0.000 0.281
Sr 0.988 0.501 0.717
Ca 0.000 0.500 0.500
Ho 0.500 0.000 0.500
Cu 0.000 0.500 0.000
Cu 0.006 0.999 0.395
Cu 0.494 0.500 0.604
Cu 0.500 0.000 0.000
Cu 0.506 0.500 0.396
Cu 0.994 0.001 0.605
Pb 0.009 0.003 0.111
Pb 0.492 0.503 0.889
Pb 0.508 0.497 0.111
Pb 0.991 0.997 0.889
O 0.015 0.989 0.250
O 0.058 0.439 0.114
O 0.250 0.245 0.594
O 0.250 0.756 0.596
O 0.260 0.244 0.404
O 0.260 0.755 0.406
O 0.441 0.939 0.886
O 0.485 0.491 0.750
O 0.515 0.509 0.250
O 0.559 0.061 0.114
O 0.740 0.245 0.594
O 0.740 0.756 0.596
O 0.750 0.244 0.404
O 0.750 0.755 0.406
O 0.942 0.561 0.886
O 0.985 0.011 0.750

Results
Its formation energy (no corrections) is -5698.4 kJ/mol of formula units. Its density is 7.5 g/cm³. Its calculated volume is 445.2 Å³/f.u. Its space-group type is P-1 (2).

---

Record 10
First-principles (SCAN) data for a crystal of ZrTaRh relaxed with PBEsol, as listed in Alexandria via LeMat-Bulk.

Cell: 6.218 6.218 6.218 Å, 90.00 90.00 90.00°
Element x y z (fractional)
Zr 0.000 0.000 0.000
Zr 0.000 0.500 0.500
Zr 0.500 0.000 0.500
Zr 0.500 0.500 0.000
Ta 0.000 0.000 0.500
Ta 0.000 0.500 0.000
Ta 0.500 0.000 0.000
Ta 0.500 0.500 0.500
Rh 0.250 0.250 0.250
Rh 0.250 0.750 0.750
Rh 0.750 0.250 0.750
Rh 0.750 0.750 0.250

Results
Its density is 10.4 g/cm³. The formation energy is -43 kJ/mol of formula units. Its calculated volume is 60.1 Å³/f.u. Its space-group type is F-43m (216).

---

Number 1: total DFT energy (no corrections) -191.411 eV/f.u.. Number 2: total DFT energy (no corrections) -78.431 eV/f.u.. Number 3: total DFT energy (no corrections) -77.293 eV/f.u.. Number 4: total DFT energy (no corrections) -149.119 eV/f.u.. Number 5: total DFT energy (no corrections) -33.015 eV/f.u.. Number 6: total DFT energy (no corrections) -147.318 eV/f.u.. Number 7: total DFT energy (no corrections) -91.058 eV/f.u.. Number 8: total DFT energy (no corrections) -91.521 eV/f.u.. Number 9: total DFT energy (no corrections) -700.832 eV/f.u.. Number 10: total DFT energy (no corrections) -131.500 eV/f.u..